No. 1
The following is a DFT calculation (PBE-GGA) of a geometry-optimized B2C structure.

Cell: 2.266 2.611 13.937 Å, 90.00 90.00 90.00°
Atoms (fractional coordinates):
B 0.250 0.500 0.706
C 0.750 0.000 0.532
B 0.750 0.500 0.949
B 0.750 0.500 0.604
C 0.250 0.000 0.468
B 0.250 0.500 0.051
B 0.750 0.500 0.294
C 0.750 0.000 0.882
B 0.250 0.000 0.796
C 0.250 0.000 0.118
B 0.250 0.500 0.396
B 0.750 0.000 0.204

As for the space group: No. 51. The calculation puts the calculated volume at 6.87 A^3/atom. The excess energy over the best structure of this formula in the dataset is 0.69 eV per formula unit. For the total moment, the calculation gives 0.00 μB/cell. As for the total energy: -7.11 eV/atom.

=====

No. 2
The following is a DFT calculation (PBE-GGA) of a geometry-optimized MnInFeIr structure.

Cell: 4.410 4.410 4.410 Å, 60.00 60.00 60.00°
Atoms (fractional coordinates):
Ir 0.000 0.000 0.000
Fe 0.750 0.750 0.750
Mn 0.500 0.500 0.500
In 0.250 0.250 0.250

As for the space group: No. 216. The calculation puts the calculated volume at 15.16 A^3/atom. For the total moment, the calculation gives 6.35 μB/cell. As for the total energy: -7.22 eV/atom.